[1]
{
  "formula": "EuGaRh2",
  "functional": "GGA-PBE",
  "state": "optimized geometry",
  "lattice_angstrom": [[4.411, 0.000, 0.000], [0.000, 4.411, 0.000], [0.000, 0.000, 3.571]],
  "species": ["Eu", "Ga", "Rh", "Rh"],
  "frac_coords": [[0.000, 0.000, 0.000], [0.500, 0.500, 0.000], [0.000, 0.500, 0.500], [0.500, 0.000, 0.500]],
  "total_magnetization_mub_per_atom": 1.64,
  "final_energy_ev_per_atom": -7.4274,
  "crystal_system": "tetragonal"
}

=====

[2]
{
  "formula": "SmEuGaRh",
  "functional": "GGA-PBE",
  "state": "optimized geometry",
  "lattice_angstrom": [[0.000, 3.594, 3.594], [3.594, 0.000, 3.594], [3.594, 3.594, 0.000]],
  "species": ["Sm", "Eu", "Ga", "Rh"],
  "frac_coords": [[0.000, 0.000, 0.000], [0.500, 0.500, 0.500], [0.750, 0.750, 0.750], [0.250, 0.250, 0.250]],
  "total_magnetization_mub_per_atom": 1.72,
  "final_energy_ev_per_atom": -6.8240,
  "crystal_system": "cubic"
}

=====

[3]
{
  "formula": "EuTmGaRh",
  "functional": "GGA-PBE",
  "state": "optimized geometry",
  "lattice_angstrom": [[0.000, 3.530, 3.530], [3.530, 0.000, 3.530], [3.530, 3.530, 0.000]],
  "species": ["Eu", "Tm", "Ga", "Rh"],
  "frac_coords": [[0.000, 0.000, 0.000], [0.500, 0.500, 0.500], [0.250, 0.250, 0.250], [0.750, 0.750, 0.750]],
  "total_magnetization_mub_per_atom": 1.72,
  "final_energy_ev_per_atom": -6.7947,
  "crystal_system": "cubic"
}

=====

Computed N(E_F) (states/eV/cell) in order:
9.30, 5.72, 5.83